Below is BiMoPS2 at its PBEsol-relaxed geometry, with properties calculated at the SCAN level.

Computed properties:
DFT total energy   -27.25 eV/atom
Energy relative to the elements, uncorrected   6.8 eV per formula unit
SG   P4/mmm (123)
Spin magnetization   0.5595 μB/atom
Mass density   5.02 g/cm³

Lattice parameters (Å, degrees): 5.083 5.083 5.119 90.00 90.00 90.00
Atoms (fractional coordinates):
Bi (0.000, 0.000, 0.000)
Mo (0.500, 0.500, 0.500)
P (0.000, 0.000, 0.500)
S (0.000, 0.500, 0.000)
S (0.500, 0.000, 0.000)